The following is a GGA+U calculation of VCuSO after structural relaxation, from the Alexandria database.

Cell and atoms, written as CIF:
```
data_VCuSO
_chemical_formula_sum 'V2 Cu2 S2 O2'
_space_group_name_H-M_alt 'P -1'
_space_group_IT_number 2
_space_group_name_Hall '-P 1'
_cell_length_a 3.264
_cell_length_b 5.897
_cell_length_c 6.375
_cell_angle_alpha 77.82
_cell_angle_beta 89.93
_cell_angle_gamma 89.99
loop_
_atom_site_label
_atom_site_fract_x
_atom_site_fract_y
_atom_site_fract_z
V1 0.250 0.229 0.480
Cu1 0.251 0.815 0.954
S1 0.251 0.642 0.282
O1 0.250 0.886 0.654
```

Calculated values
- Excess energy over the best structure of this formula in the dataset: 0.0000 eV per atom